This record from Alexandria describes an optimized crystal structure of MgCd6In5. The functional is PBE-GGA.

a = 5.732 Å, b = 6.385 Å, c = 8.518 Å
α = 69.65°, β = 90.48°, γ = 89.73°
Fractional coordinates of all 12 atoms:
Mg  0.000  0.000  0.000
In  0.685  0.171  0.664
In  0.335  0.327  0.339
In  0.000  0.500  0.000
In  0.665  0.673  0.661
In  0.315  0.829  0.336
Cd  0.830  0.591  0.326
Cd  0.830  0.088  0.323
Cd  0.499  0.755  0.002
Cd  0.501  0.245  0.998
Cd  0.170  0.912  0.677
Cd  0.170  0.409  0.674

Summary:
Crystal system: triclinic
Formation enthalpy at 0 K (meV per atom): 10
Mass density (Mg/m³): 7.232
Electronic total energy (eV per atom): -1.721